VASP calculation (PBE-GGA) on Li2ZrAl2CuPd2 after structural relaxation.

Computed properties:
Crystal system: tetragonal
Calculated total energy: -37.63 eV for the cell shown
Size of the total moment: 0.00 Bohr magnetons per cell

Lattice parameters (Å, degrees): 4.424 4.424 6.221 90.00 90.00 90.00
Positions (direct):
Li1 0.000 0.500 0.207
Li2 0.500 0.000 0.793
Zr1 0.000 0.000 0.500
Al1 0.000 0.000 0.000
Al2 0.500 0.500 0.500
Cu1 0.500 0.500 0.000
Pd1 0.000 0.500 0.750
Pd2 0.500 0.000 0.250